# BeCoN2O, relaxed, DFT GGA+U
data_BeCoN2O
_cell_length_a 3.460
_cell_length_b 3.460
_cell_length_c 4.048
_cell_angle_alpha 90.00
_cell_angle_beta 90.00
_cell_angle_gamma 90.00
_symmetry_space_group_name_H-M 'P 1'
_symmetry_Int_Tables_number 1
_symmetry_space_group_name_Hall 'P 1'
loop_
_atom_site_label
_atom_site_fract_x
_atom_site_fract_y
_atom_site_fract_z
_atom_site_occupancy
Be1 0.500 0.500 0.500 1
Co1 0.000 0.000 0.000 1
O1 0.000 0.000 0.500 1
N1 0.000 0.500 0.000 1
N2 0.500 0.000 0.000 1
# **Uncorrected energy**: -24.54 eV per cell